# 1
The following is a DFT calculation (PBE) of La2AlNi4P3 after structural relaxation.

- Calculated volume: 158.0 Å³ per cell
- Energy relative to the elements: -935 meV per atom
- Electronic total energy: -62.302 eV/f.u.
- Magnetization: 0.00 μB per cell

Geometry as CIF:
```
data_La2AlNi4P3
_cell_length_a 4.027
_cell_length_b 4.027
_cell_length_c 9.740
_cell_angle_alpha 90.00
_cell_angle_beta 90.00
_cell_angle_gamma 90.00
_space_group_name_H-M_alt 'P -4 m 2'
_space_group_IT_number 115
loop_
_space_group_symop_operation_xyz
'x,y,z'
'y,-x,-z'
'-x,-y,z'
'-y,x,-z'
'-x,y,z'
'-y,-x,-z'
'x,-y,z'
'y,x,-z'
loop_
_atom_site_label
_atom_site_type_symbol
_atom_site_fract_x
_atom_site_fract_y
_atom_site_fract_z
La1 La 0.000 0.500 0.241
Al1 Al 0.000 0.000 0.500
Ni1 Ni 0.000 0.000 0.000
Ni2 Ni 0.000 0.500 0.631
Ni3 Ni 0.500 0.500 0.000
P1 P 0.000 0.500 0.873
P2 P 0.500 0.500 0.500
```



# 2
The following is a DFT calculation (PBE) of LaAl3NiPd after structural relaxation.

- Calculated volume: 449.5 Å³ per cell
- Energy relative to the elements: -549 meV per atom
- Electronic total energy: -30.422 eV/f.u.
- Magnetization: 0.00 μB per cell

Geometry as CIF:
```
data_LaAl3NiPd
_cell_length_a 6.261
_cell_length_b 12.273
_cell_length_c 5.849
_cell_angle_alpha 90.00
_cell_angle_beta 90.00
_cell_angle_gamma 90.00
_space_group_name_H-M_alt 'C m c m'
_space_group_IT_number 63
_space_group_name_Hall '-C 2c 2'
loop_
_atom_site_label
_atom_site_type_symbol
_atom_site_fract_x
_atom_site_fract_y
_atom_site_fract_z
La1 La 0.000 0.229 0.250
Al1 Al 0.000 0.361 0.750
Al2 Al 0.215 0.000 0.000
Ni1 Ni 0.000 0.438 0.250
Pd1 Pd 0.000 0.145 0.750
```



# 3
The following is a DFT calculation (PBE) of LaAl2NiPd2 after structural relaxation.

- Calculated volume: 113.9 Å³ per cell
- Energy relative to the elements: -625 meV per atom
- Electronic total energy: -32.329 eV/f.u.
- Magnetization: 0.00 μB per cell

Geometry as CIF:
```
data_LaAl2NiPd2
_cell_length_a 4.539
_cell_length_b 4.539
_cell_length_c 5.530
_cell_angle_alpha 90.00
_cell_angle_beta 90.00
_cell_angle_gamma 90.00
_space_group_name_H-M_alt 'P 4/m m m'
_space_group_IT_number 123
_space_group_name_Hall '-P 4 2'
loop_
_atom_site_label
_atom_site_type_symbol
_atom_site_fract_x
_atom_site_fract_y
_atom_site_fract_z
La1 La 0.000 0.000 0.000
Al1 Al 0.000 0.500 0.500
Ni1 Ni 0.000 0.000 0.500
Pd1 Pd 0.500 0.500 0.245
```